1.
Tm11Sn10 | PBEsol | optimized geometry

Structure (POSCAR):
```
Tm11Sn10
1.0
11.3386 0.0000 0.0000
-5.6693 10.0271 -0.0140
0.0000 -6.3977 9.3612
Sn Tm
20 22
Direct
0.1193 0.6496 0.1193 Sn
0.5303 0.6496 0.1193 Sn
0.5303 0.6496 0.5303 Sn
0.2500 0.5000 0.7500 Sn
0.6306 0.0000 0.3694 Sn
0.3554 0.0000 0.0000 Sn
0.8807 0.3504 0.8807 Sn
0.3694 0.0000 0.3694 Sn
0.4697 0.3504 0.8807 Sn
0.0000 0.0000 0.6446 Sn
0.1122 0.2245 0.1122 Sn
0.3694 0.0000 0.6306 Sn
0.6306 0.0000 0.6306 Sn
0.7500 0.5000 0.2500 Sn
0.8807 0.3504 0.4697 Sn
0.4697 0.3504 0.4697 Sn
0.6446 0.0000 0.0000 Sn
0.8878 0.7755 0.8878 Sn
0.0000 0.0000 0.3554 Sn
0.1193 0.6496 0.5303 Sn
0.5606 0.6237 0.8119 Tm
0.8119 0.6237 0.0631 Tm
0.8119 0.6237 0.5606 Tm
0.6684 0.3367 0.6684 Tm
0.1732 0.0000 0.1732 Tm
0.8268 0.0000 0.1732 Tm
0.2704 0.2047 0.6023 Tm
0.1881 0.3763 0.4394 Tm
0.9343 0.2047 0.6023 Tm
0.1881 0.3763 0.9369 Tm
0.3977 0.7953 0.0657 Tm
0.4394 0.3763 0.1881 Tm
0.0657 0.7953 0.3977 Tm
0.1732 0.0000 0.8268 Tm
0.3977 0.7953 0.7296 Tm
0.3316 0.6633 0.3316 Tm
0.6023 0.2047 0.9343 Tm
0.9369 0.3763 0.1881 Tm
0.6023 0.2047 0.2704 Tm
0.8268 0.0000 0.8268 Tm
0.7296 0.7953 0.3977 Tm
0.0631 0.6237 0.8119 Tm
```

Crystal system ... tetragonal
Space-group type ... I4/mmm, No. 139
Formation energy ... -0.749 eV/atom



2.
Y5Pb3 | PBEsol | optimized geometry

Structure (POSCAR):
```
Y5Pb3
1.0
-6.3893 -0.7480 -1.1426
-0.0051 -7.4617 4.9131
-1.6146 7.8925 3.8622
Y Pb
10 6
Direct
0.5000 0.6667 0.3333 Y
0.7500 0.0000 0.2377 Y
0.7500 0.7623 0.7623 Y
0.2500 0.2377 0.2377 Y
0.7500 0.2377 0.0000 Y
0.2500 0.7623 0.0000 Y
0.0000 0.3333 0.6667 Y
0.5000 0.3333 0.6667 Y
0.2500 0.0000 0.7623 Y
0.0000 0.6667 0.3333 Y
0.2500 0.6051 0.6051 Pb
0.7500 0.6051 0.0000 Pb
0.7500 0.0000 0.6051 Pb
0.7500 0.3949 0.3949 Pb
0.2500 0.0000 0.3949 Pb
0.2500 0.3949 0.0000 Pb
```

Crystal system ... hexagonal
Space-group type ... P6_3/mcm, No. 193
Formation energy ... -0.647 eV/atom



3.
Ir2PtAu | PBEsol | optimized geometry

Structure (POSCAR):
```
Ir2PtAu
1.0
2.7719 0.0000 0.0000
0.0000 3.8506 0.0000
0.0000 0.0000 5.6188
Ir Au Pt
2 1 1
Direct
0.5000 0.5000 0.2379 Ir
0.0000 0.0000 0.0197 Ir
0.5000 0.5000 0.7499 Au
0.0000 0.0000 0.4925 Pt
```

Crystal system ... orthorhombic
Space-group type ... Pmm2, No. 25
Formation energy ... 0.199 eV/atom



4.
La3HPb | PBEsol | optimized geometry

Structure (POSCAR):
```
La3HPb
1.0
5.0170 0.0000 0.0000
0.0000 5.0170 0.0000
0.0000 0.0000 5.0170
La H Pb
3 1 1
Direct
0.0000 0.5000 0.0000 La
0.5000 0.0000 0.0000 La
0.0000 0.0000 0.5000 La
0.0000 0.0000 0.0000 H
0.5000 0.5000 0.5000 Pb
```

Electronic total energy ... -5.150 eV per atom
Crystal system ... cubic
Space-group type ... Pm-3m, No. 221



5.
LiFeP4O12 | PBEsol | optimized geometry

Structure (POSCAR):
```
LiFeP4O12
1.0
8.2932 0.0000 0.0000
0.0000 8.8700 0.0000
0.0000 0.0000 12.4133
O P Li Fe
48 16 4 4
Direct
0.3053 0.1312 0.4408 O
0.1387 0.1272 0.6235 O
0.5917 0.1334 0.6080 O
0.9664 0.3680 0.5624 O
0.1399 0.9588 0.3198 O
0.3925 0.4191 0.7454 O
0.6387 0.3728 0.1235 O
0.5336 0.6320 0.0624 O
0.1947 0.6312 0.0592 O
0.4664 0.1320 0.0624 O
0.8613 0.6272 0.6235 O
0.3613 0.8728 0.1235 O
0.6399 0.9588 0.1802 O
0.3925 0.0809 0.2546 O
0.9083 0.8666 0.1080 O
0.5917 0.3666 0.3920 O
0.8053 0.3688 0.9408 O
0.6075 0.5809 0.2546 O
0.6387 0.1272 0.8765 O
0.1947 0.8688 0.9408 O
0.4664 0.3680 0.9376 O
0.3601 0.0412 0.8198 O
0.3613 0.6272 0.8765 O
0.5336 0.8680 0.9376 O
0.3053 0.3688 0.5592 O
0.1387 0.3728 0.3765 O
0.8601 0.0412 0.6802 O
0.1399 0.5412 0.6802 O
0.8601 0.4588 0.3198 O
0.6399 0.5412 0.8198 O
0.8925 0.4191 0.7546 O
0.9664 0.1320 0.4376 O
0.1075 0.9191 0.7546 O
0.0917 0.3666 0.1080 O
0.8613 0.8728 0.3765 O
0.0336 0.8680 0.5624 O
0.6075 0.9191 0.7454 O
0.8053 0.1312 0.0592 O
0.1075 0.5809 0.2454 O
0.3601 0.4588 0.1802 O
0.4083 0.6334 0.6080 O
0.0336 0.6320 0.4376 O
0.6947 0.6312 0.4408 O
0.6947 0.8688 0.5592 O
0.8925 0.0809 0.2454 O
0.0917 0.1334 0.8920 O
0.9083 0.6334 0.8920 O
0.4083 0.8666 0.3920 O
0.4629 0.4899 0.8531 P
0.0371 0.5101 0.3531 P
0.5371 0.5101 0.1469 P
0.4629 0.0101 0.1469 P
0.3173 0.0023 0.3608 P
0.0371 0.9899 0.6469 P
0.3173 0.4977 0.6392 P
0.8173 0.4977 0.8608 P
0.6827 0.9977 0.6392 P
0.1827 0.9977 0.8608 P
0.9629 0.4899 0.6469 P
0.9629 0.0101 0.3531 P
0.6827 0.5023 0.3608 P
0.5371 0.9899 0.8531 P
0.8173 0.0023 0.1392 P
0.1827 0.5023 0.1392 P
0.0095 0.7500 0.0000 Li
0.4905 0.2500 0.5000 Li
0.9905 0.2500 0.0000 Li
0.5095 0.7500 0.5000 Li
0.1336 0.2500 0.5000 Fe
0.6336 0.2500 0.0000 Fe
0.8664 0.7500 0.5000 Fe
0.3664 0.7500 0.0000 Fe
```

Crystal system ... orthorhombic
Uncorrected formation energy ... -195.16 kJ per mole of atoms
Space-group type ... Pbcn, No. 60



6.
LuMg2Cr3S8 | PBEsol | optimized geometry

Structure (POSCAR):
```
LuMg2Cr3S8
1.0
-6.6248 -2.8310 0.6873
-1.0657 -5.7074 4.3203
-3.6549 0.8176 6.2401
S Mg Cr Lu
8 2 3 1
Direct
0.2817 0.7526 0.2132 S
0.7526 0.7526 0.2132 S
0.2474 0.2474 0.7868 S
0.2642 0.2642 0.2074 S
0.7358 0.7358 0.7926 S
0.7526 0.2817 0.2132 S
0.2474 0.7183 0.7868 S
0.7183 0.2474 0.7868 S
0.1251 0.1251 0.6246 Mg
0.8749 0.8749 0.3754 Mg
0.5000 0.5000 0.0000 Cr
0.0000 0.5000 0.0000 Cr
0.5000 0.0000 0.0000 Cr
0.5000 0.5000 0.5000 Lu
```

Crystal system ... trigonal
Uncorrected formation energy ... -107.38 kJ per mole of atoms
Space-group type ... R-3m, No. 166



7.
Li2Pr2Ge3 | PBEsol | optimized geometry

Structure (POSCAR):
```
Li2Pr2Ge3
1.0
-2.7857 3.4300 0.2055
0.0624 -0.3611 6.8741
8.6317 4.1496 0.1396
Pr Ge Li
4 6 4
Direct
0.5515 0.7500 0.1030 Pr
0.4485 0.2500 0.8970 Pr
0.3419 0.7500 0.6839 Pr
0.6581 0.2500 0.3161 Pr
0.0617 0.0676 0.1235 Ge
0.9383 0.5676 0.8765 Ge
0.9383 0.9324 0.8765 Ge
0.0617 0.4324 0.1235 Ge
0.7200 0.7500 0.4400 Ge
0.2800 0.2500 0.5600 Ge
0.1902 0.9381 0.3804 Li
0.8098 0.0619 0.6196 Li
0.8098 0.4381 0.6196 Li
0.1902 0.5619 0.3804 Li
```

Crystal system ... orthorhombic
Space-group type ... Cmcm, No. 63
Formation energy ... -0.739 eV/atom



8.
LiIn3 | PBEsol | optimized geometry

Structure (POSCAR):
```
LiIn3
1.0
-0.5960 -0.2087 3.2873
2.4396 -0.9491 2.0864
3.2299 8.6393 2.8386
In Li
3 1
Direct
0.5000 0.5000 0.5000 In
0.2551 0.2551 0.2347 In
0.7449 0.7449 0.7653 In
0.0000 0.0000 0.0000 Li
```

Crystal system ... trigonal
Space-group type ... R-3m, No. 166
Formation energy ... -0.119 eV/atom



9.
Li2BPd3 | PBEsol | optimized geometry

Structure (POSCAR):
```
Li2BPd3
1.0
-0.4348 -4.4054 -5.0693
6.5110 -1.5224 0.7646
-1.6473 -4.8548 4.3603
Pd Li B
12 8 4
Direct
0.8045 0.5545 0.8750 Pd
0.6955 0.4455 0.3750 Pd
0.8750 0.8045 0.5545 Pd
0.6250 0.1955 0.0545 Pd
0.3750 0.6955 0.4455 Pd
0.1955 0.0545 0.6250 Pd
0.0545 0.6250 0.1955 Pd
0.5545 0.8750 0.8045 Pd
0.4455 0.3750 0.6955 Pd
0.9455 0.1250 0.3045 Pd
0.3045 0.9455 0.1250 Pd
0.1250 0.3045 0.9455 Pd
0.9443 0.9443 0.9443 Li
0.8057 0.1943 0.6943 Li
0.0557 0.4443 0.5557 Li
0.3057 0.3057 0.3057 Li
0.4443 0.5557 0.0557 Li
0.6943 0.8057 0.1943 Li
0.5557 0.0557 0.4443 Li
0.1943 0.6943 0.8057 Li
0.1250 0.8750 0.3750 B
0.8750 0.3750 0.1250 B
0.6250 0.6250 0.6250 B
0.3750 0.1250 0.8750 B
```

Crystal system ... cubic
Space-group type ... P4_332, No. 212
Formation energy ... -0.460 eV/atom



10.
CdCo3W | PBEsol | optimized geometry

Structure (POSCAR):
```
CdCo3W
1.0
-1.0499 -1.5787 3.9829
4.0364 1.0103 1.4645
-1.4364 3.9931 1.2041
Co Cd W
3 1 1
Direct
0.0000 0.0000 0.5000 Co
0.0000 0.5000 0.0000 Co
0.5000 0.0000 0.0000 Co
0.0000 0.0000 0.0000 Cd
0.5000 0.5000 0.5000 W
```

Crystal system ... cubic
Space-group type ... Pm-3m, No. 221
Formation energy ... 2.342 eV/atom



11.
MgAlCu2 | PBEsol | optimized geometry

Structure (POSCAR):
```
MgAlCu2
1.0
-1.8205 0.4324 -2.4274
-3.1884 -1.8202 2.0670
-1.1500 3.7530 1.5309
Cu Mg Al
2 1 1
Direct
0.0000 0.0000 0.5000 Cu
0.0000 0.5000 0.0000 Cu
0.5000 0.5000 0.5000 Mg
0.5000 0.0000 0.0000 Al
```

Crystal system ... tetragonal
Space-group type ... P4/mmm, No. 123
Formation energy ... -0.147 eV/atom



12.
CuNi | PBEsol | optimized geometry

Structure (POSCAR):
```
CuNi
1.0
-1.0500 -1.8207 1.2907
-0.0674 -2.2862 -0.9231
3.2024 -2.1843 1.8806
Cu Ni
1 1
Direct
0.0000 0.0000 0.0000 Cu
0.5000 0.5000 0.5000 Ni
```

Crystal system ... trigonal
Space-group type ... R-3m, No. 166
Formation energy ... 0.010 eV/atom



13.
FeC4 | PBEsol | optimized geometry

Structure (POSCAR):
```
FeC4
1.0
-0.7938 2.4262 0.1149
-1.4972 -1.7859 -1.0484
-2.4573 -1.0552 5.3069
C Fe
4 1
Direct
0.3333 0.6667 0.2070 C
0.6667 0.3333 0.5449 C
0.6667 0.3333 0.7930 C
0.3333 0.6667 0.4551 C
0.0000 0.0000 0.0000 Fe
```

Crystal system ... trigonal
Space-group type ... P-3m1, No. 164
Formation energy ... 0.410 eV/atom



14.
YIn2Ag | PBEsol | optimized geometry

Structure (POSCAR):
```
YIn2Ag
1.0
-0.6190 -1.0149 -4.2967
-4.2756 -0.9536 0.8412
-1.1105 4.2376 -0.8409
Ag In Y
1 2 1
Direct
0.5000 0.0000 0.0000 Ag
0.0000 0.0000 0.5000 In
0.0000 0.5000 0.0000 In
0.5000 0.5000 0.5000 Y
```

Crystal system ... tetragonal
Space-group type ... P4/mmm, No. 123
Formation energy ... -0.401 eV/atom



15.
KFeBr3 | PBEsol | optimized geometry

Structure (POSCAR):
```
KFeBr3
1.0
-2.8176 0.3358 4.2768
2.1793 -4.2953 1.7730
3.6952 2.7893 2.2154
Br K Fe
3 1 1
Direct
0.5000 0.0000 0.0000 Br
0.0000 0.5000 0.0000 Br
0.0000 0.0000 0.5000 Br
0.5000 0.5000 0.5000 K
0.0000 0.0000 0.0000 Fe
```

Crystal system ... cubic
Uncorrected formation energy ... -80.16 kJ per mole of atoms
Space-group type ... Pm-3m, No. 221



16.
SrZn2Br | PBEsol | optimized geometry

Structure (POSCAR):
```
SrZn2Br
1.0
3.6214 0.0000 0.0000
0.0000 3.6214 0.0000
0.0000 0.0000 7.8978
Sr Zn Br
1 2 1
Direct
0.5000 0.5000 0.7577 Sr
0.0000 0.0000 0.0496 Zn
0.5000 0.5000 0.1528 Zn
0.0000 0.0000 0.5398 Br
```

Crystal system ... tetragonal
Uncorrected formation energy ... -48.73 kJ per mole of atoms
Space-group type ... P4mm, No. 99



17.
RbCa2HfAs | PBEsol | optimized geometry

Structure (POSCAR):
```
RbCa2HfAs
1.0
5.1399 0.0000 0.0000
0.0000 5.2992 0.0000
0.0000 0.0000 5.2992
Ca Hf Rb As
2 1 1 1
Direct
0.0000 0.0000 0.5000 Ca
0.0000 0.5000 0.0000 Ca
0.5000 0.0000 0.0000 Hf
0.0000 0.0000 0.0000 Rb
0.5000 0.5000 0.5000 As
```

Crystal system ... tetragonal
Space-group type ... P4/mmm, No. 123
Formation energy ... 1.546 eV/atom



18.
LaCr2GeTe | PBEsol | optimized geometry

Structure (POSCAR):
```
LaCr2GeTe
1.0
-0.8417 -1.9680 4.4344
4.6840 0.8427 1.2630
-1.5133 5.3099 2.0694
Cr Te La Ge
2 1 1 1
Direct
0.0000 0.5000 0.0000 Cr
0.5000 0.0000 0.0000 Cr
0.0000 0.0000 0.5000 Te
0.0000 0.0000 0.0000 La
0.5000 0.5000 0.5000 Ge
```

Crystal system ... tetragonal
Uncorrected formation energy ... 154.40 kJ per mole of atoms
Space-group type ... P4/mmm, No. 123



19.
Co3Cu | PBEsol | optimized geometry

Structure (POSCAR):
```
Co3Cu
1.0
2.4512 0.0000 0.0000
0.0000 2.4512 0.0000
0.0000 0.0000 7.0441
Co Cu
3 1
Direct
0.0000 0.0000 0.7587 Co
0.5000 0.5000 0.0000 Co
0.0000 0.0000 0.2413 Co
0.5000 0.5000 0.5000 Cu
```

Crystal system ... tetragonal
Space-group type ... P4/mmm, No. 123
Formation energy ... 0.098 eV/atom



20.
Zr5Sn3P | PBEsol | optimized geometry

Structure (POSCAR):
```
Zr5Sn3P
1.0
-5.4949 1.5945 1.2419
-1.5762 -7.7972 3.0365
2.9367 6.0771 5.1909
Sn Zr P
6 10 2
Direct
0.7500 0.6016 0.6016 Sn
0.7500 0.3984 0.0000 Sn
0.2500 0.6016 0.0000 Sn
0.2500 0.0000 0.6016 Sn
0.2500 0.3984 0.3984 Sn
0.7500 0.0000 0.3984 Sn
0.5000 0.6667 0.3333 Zr
0.7500 0.2514 0.2514 Zr
0.0000 0.6667 0.3333 Zr
0.2500 0.2514 0.0000 Zr
0.7500 0.7486 0.0000 Zr
0.2500 0.0000 0.2514 Zr
0.0000 0.3333 0.6667 Zr
0.5000 0.3333 0.6667 Zr
0.2500 0.7486 0.7486 Zr
0.7500 0.0000 0.7486 Zr
0.0000 0.0000 0.0000 P
0.5000 0.0000 0.0000 P
```

Crystal system ... hexagonal
Space-group type ... P6_3/mcm, No. 193
Formation energy ... -0.923 eV/atom



| no. | V (A^3/atom) | spin magnetization (μB per formula unit) |
| --- | --- | --- |
| 1 | 25.317 | 0.0 |
| 2 | 28.226 | 0.0 |
| 3 | 14.993 | 0.0 |
| 4 | 25.256 | 0.0 |
| 5 | 12.682 | 1.0 |
| 6 | 19.306 | 9.0 |
| 7 | 20.270 | 0.0 |
| 8 | 22.938 | 0.0 |
| 9 | 12.702 | 0.0 |
| 10 | 17.166 | 5.2 |
| 11 | 13.601 | 0.0 |
| 12 | 10.711 | 0.0 |
| 13 | 6.721 | 0.0 |
| 14 | 22.176 | 0.0 |
| 15 | 27.041 | 4.0 |
| 16 | 25.893 | 0.0 |
| 17 | 28.868 | 0.0 |
| 18 | 28.592 | 7.4 |
| 19 | 10.581 | 4.7 |
| 20 | 20.423 | 0.0 |